Here is a relaxed KBeBr3 crystal from Alexandria. Energies are from PBE.

Properties
size of the total moment = 0.00 μB per atom
E_form (uncorrected) = -0.999 eV/atom
VASP energy = -2.97 eV per atom

a b c (Å): 5.025 5.025 5.025
angles (deg): 90.00 90.00 90.00
Space group Pm-3m (No. 221)
Symmetry-distinct sites (fractional):
K: 0.000 0.000 0.000 [1 per cell]
Be: 0.500 0.500 0.500 [1 per cell]
Br: 0.000 0.500 0.500 [3 per cell]

=====

Here is a relaxed LiCaBe crystal from Alexandria. Energies are from PBE.

Properties
size of the total moment = 0.00 μB per atom
calculated formation energy = 0.50 eV per atom
VASP energy = -2.05 eV per atom

a b c (Å): 6.711 6.711 6.711
angles (deg): 90.00 90.00 90.00
Space group F-43m (No. 216)
Symmetry-distinct sites (fractional):
Li: 0.000 0.000 0.000 [4 per cell]
Ca: 0.000 0.000 0.500 [4 per cell]
Be: 0.250 0.250 0.750 [4 per cell]

=====

Here is a relaxed Tb5PaP6 crystal from Alexandria. Energies are from PBE.

Properties
size of the total moment = 0.00 μB per atom
calculated formation energy = -1.58 eV per atom
VASP energy = -7.01 eV per atom

a b c (Å): 6.951 12.034 6.945
angles (deg): 90.00 109.45 90.00
Space group C2/m (No. 12)
Symmetry-distinct sites (fractional):
Tb: 0.000 0.000 0.000 [2 per cell]
Tb: 0.000 0.166 0.500 [4 per cell]
Tb: 0.000 0.332 0.000 [4 per cell]
Pa: 0.000 0.500 0.500 [2 per cell]
P: 0.244 0.500 0.254 [4 per cell]
P: 0.246 0.336 0.747 [8 per cell]